VASP calculation (GGA-PBE) on a geometry-optimized Tl2CuSe structure.

Results
- formation energy without anion corrections (eV/atom) = 0.05
- calculated total energy (eV for the cell shown) = -12.112
- space-group type = C2/m
- offset from the most stable computed form (eV/atom) = 0.168

a b c (Å): 4.1298 4.1298 7.2040
angles (deg): 73.63 73.63 60.82
With the nearest neighbours (Å) after each atom.
Fractional coordinates of all 4 atoms:
Cu 0.7500 0.7500 0.7500  6 Tl 2.83-2.87
Se 0.2500 0.2500 0.2500  6 Tl 3.01-3.03
Tl 0.0057 0.0057 0.9799  3 Cu 2.83-2.87, 3 Se 3.01-3.03
Tl 0.4943 0.4943 0.5201  3 Cu 2.83-2.87, 3 Se 3.01-3.03